Entry 1:
The following is a GGA-PBE calculation of an optimized crystal structure of SmZnPb2, from the Alexandria database.

calculated formation energy	-0.093	eV/atom
energy relative to the lowest polymorph listed for this composition	210	meV/atom
calculated total energy	-3.45	eV/atom

Lattice parameters (Å, degrees): 4.8944 4.8944 15.8023 90.00 90.00 120.00
Last column: nearest neighbours and their distance in Å.
Space group R-3m (No. 166, hexagonal axes)
One atom of each set of equivalent atoms:
Sm 0.0000 0.0000 0.0000 [3 per cell]  8 Pb 3.26-3.65
Zn 0.0000 0.0000 0.5000 [3 per cell]  6 Pb 3.00
Pb 0.0000 0.0000 0.2308 [6 per cell]  3 Zn 3.00, 3 Sm 3.26

***

Entry 2:
The following is a GGA-PBE calculation of an optimized crystal structure of SmZrPb, from the Alexandria database.

calculated formation energy	-0.009	eV/atom
energy relative to the lowest polymorph listed for this composition	387	meV/atom
calculated total energy	-5.67	eV/atom

Lattice parameters (Å, degrees): 5.2867 5.2867 3.4633 90.00 90.00 120.00
Last column: nearest neighbours and their distance in Å.
Space group P-6m2 (No. 187)
One atom of each set of equivalent atoms:
Sm 0.0000 0.0000 0.0000 [1 per cell]  2 Sm 3.46, 6 Zr 3.51, 6 Pb 3.51
Zr 0.6667 0.3333 0.5000 [1 per cell]  3 Pb 3.05
Pb 0.3333 0.6667 0.5000 [1 per cell]  3 Zr 3.05

***

Entry 3:
The following is a GGA-PBE calculation of an optimized crystal structure of Sm3ZrPb5, from the Alexandria database.

calculated formation energy	-0.433	eV/atom
calculated total energy	-5.02	eV/atom

Lattice parameters (Å, degrees): 9.5920 9.5920 6.4079 90.00 90.00 120.00
Last column: nearest neighbours and their distance in Å.
Space group P6_3/mcm (No. 193)
One atom of each set of equivalent atoms:
Sm 0.0000 0.3835 0.2500 [6 per cell]  9 Pb 3.28-3.39
Zr 0.0000 0.0000 0.0000 [2 per cell]  6 Pb 3.07, 2 Zr 3.20
Pb 0.0000 0.2734 0.7500 [6 per cell]  2 Zr 3.07, 5 Sm 3.28-3.37
Pb 0.3333 0.6667 0.0000 [4 per cell]  2 Pb 3.20, 6 Sm 3.39